Entry 1:
Crystalline MgBe2P at its relaxed geometry, computed with GGA-PBE.

Cell lengths 4.199, 4.199, 4.199 Å; angles 60.00, 60.00, 60.00 degrees
Fractional coordinates of all 4 atoms:
Mg 0.000 0.000 0.000
Be 0.250 0.250 0.250
Be 0.750 0.750 0.750
P 0.500 0.500 0.500

Fermi-level density of states in states/eV/f.u.: 3.1
SG: Fm-3m (225)
Formation energy from the elements in meV/atom: 558

Entry 2:
Crystalline La6Sb2Os at its relaxed geometry, computed with GGA-PBE.

Cell lengths 6.792, 10.154, 10.156 Å; angles 90.00, 121.42, 90.00 degrees
Fractional coordinates of all 18 atoms:
La 0.115 0.146 0.469
La 0.115 0.354 0.969
La 0.319 0.744 0.451
La 0.319 0.756 0.951
La 0.321 0.019 0.187
La 0.321 0.481 0.687
La 0.679 0.519 0.313
La 0.679 0.981 0.813
La 0.681 0.244 0.049
La 0.681 0.256 0.549
La 0.885 0.646 0.031
La 0.885 0.854 0.531
Sb 0.175 0.084 0.813
Sb 0.175 0.416 0.313
Sb 0.825 0.584 0.687
Sb 0.825 0.916 0.187
Os 0.500 0.000 0.500
Os 0.500 0.500 0.000

Fermi-level density of states in states/eV/f.u.: 9.4
Formation energy (no corrections) in kJ/mol of atoms: -55.5
SG: P2_1/c (14)

Entry 3:
Crystalline Er7ThTl4 at its relaxed geometry, computed with GGA-PBE.

Cell lengths 7.907, 7.907, 9.622 Å; angles 118.47, 118.47, 43.45 degrees
Fractional coordinates of all 12 atoms:
Er 0.000 0.000 0.000
Er 0.242 0.242 0.695
Er 0.301 0.301 0.119
Er 0.432 0.432 0.597
Er 0.568 0.568 0.403
Er 0.699 0.699 0.881
Er 0.758 0.758 0.305
Th 0.500 0.500 0.000
Tl 0.044 0.044 0.708
Tl 0.189 0.189 0.337
Tl 0.811 0.811 0.663
Tl 0.956 0.956 0.292

Fermi-level density of states in states/eV/f.u.: 14.5
SG: C2/m (12)
Formation energy from the elements in meV/atom: 36

Entry 4:
Crystalline TcTeSe2 at its relaxed geometry, computed with GGA-PBE.

Cell lengths 5.999, 6.426, 6.729 Å; angles 105.48, 103.05, 117.66 degrees
Fractional coordinates of all 8 atoms:
Tc 0.000 0.000 0.000
Tc 0.498 0.998 0.997
Te 0.018 0.441 0.185
Te 0.331 0.257 0.812
Se 0.015 0.607 0.843
Se 0.452 0.245 0.317
Se 0.633 0.928 0.680
Se 0.671 0.762 0.155

Fermi-level density of states in states/eV/f.u.: 1.4
Formation energy (no corrections) in kJ/mol of atoms: -13.0
SG: P1 (1)

Entry 5:
Crystalline Rb2Zn3AgSn4 at its relaxed geometry, computed with GGA-PBE.

Cell lengths 4.818, 4.818, 11.740 Å; angles 90.00, 90.00, 90.00 degrees
Fractional coordinates of all 10 atoms:
Rb 0.000 0.500 0.246
Rb 0.500 0.000 0.754
Zn 0.000 0.000 0.000
Zn 0.000 0.500 0.636
Zn 0.500 0.000 0.364
Ag 0.500 0.500 0.000
Sn 0.000 0.000 0.500
Sn 0.000 0.500 0.873
Sn 0.500 0.000 0.127
Sn 0.500 0.500 0.500

Fermi-level density of states in states/eV/f.u.: 3.7
SG: P-4m2 (115)
Formation energy from the elements in meV/atom: -79

Entry 6:
Crystalline Ru5W at its relaxed geometry, computed with GGA-PBE.

Cell lengths 5.147, 5.147, 6.460 Å; angles 103.30, 103.30, 30.98 degrees
Fractional coordinates of all 6 atoms:
Ru 0.000 0.000 0.000
Ru 0.055 0.055 0.613
Ru 0.333 0.333 0.669
Ru 0.664 0.664 0.334
Ru 0.720 0.720 0.943
W 0.388 0.388 0.281

Fermi-level density of states in states/eV/f.u.: 5.5
SG: Cm (8)
Formation energy from the elements in meV/atom: -22

Entry 7:
Crystalline NaHf2Pd2 at its relaxed geometry, computed with GGA-PBE.

Cell lengths 8.269, 8.269, 2.931 Å; angles 90.00, 90.00, 90.00 degrees
Fractional coordinates of all 10 atoms:
Na 0.000 0.000 0.000
Na 0.500 0.500 0.000
Hf 0.138 0.362 0.000
Hf 0.362 0.862 0.000
Hf 0.638 0.138 0.000
Hf 0.862 0.638 0.000
Pd 0.156 0.656 0.500
Pd 0.344 0.156 0.500
Pd 0.656 0.844 0.500
Pd 0.844 0.344 0.500

Fermi-level density of states in states/eV/f.u.: 4.3
SG: P4/mbm (127)
Formation energy from the elements in meV/atom: -287

Entry 8:
Crystalline TiBRh6 at its relaxed geometry, computed with GGA-PBE.

Cell lengths 4.967, 4.967, 4.967 Å; angles 100.91, 100.91, 100.91 degrees
Fractional coordinates of all 8 atoms:
Ti 0.000 0.000 0.000
B 0.500 0.500 0.500
Rh 0.209 0.209 0.608
Rh 0.209 0.608 0.209
Rh 0.392 0.791 0.791
Rh 0.608 0.209 0.209
Rh 0.791 0.392 0.791
Rh 0.791 0.791 0.392

Fermi-level density of states in states/eV/f.u.: 9.6
SG: R-3m (166)
Formation energy from the elements in meV/atom: -116

Entry 9:
Crystalline SrZnGe at its relaxed geometry, computed with GGA-PBE.

Cell lengths 8.380, 8.380, 8.380 Å; angles 150.41, 148.37, 43.86 degrees
Fractional coordinates of all 6 atoms:
Sr 0.000 0.000 0.000
Sr 0.320 0.320 0.000
Zn 0.554 0.554 0.000
Zn 0.660 0.160 0.500
Ge 0.163 0.663 0.500
Ge 0.767 0.767 0.000

Fermi-level density of states in states/eV/f.u.: 1.9
SG: Imm2 (44)
Formation energy from the elements in meV/atom: -247

Entry 10:
Crystalline GaSn2Sb at its relaxed geometry, computed with GGA-PBE.

Cell lengths 5.043, 5.043, 4.112 Å; angles 90.00, 90.00, 90.00 degrees
Fractional coordinates of all 4 atoms:
Ga 0.000 0.000 0.000
Sn 0.000 0.500 0.500
Sn 0.500 0.000 0.500
Sb 0.500 0.500 0.000

Fermi-level density of states in states/eV/f.u.: 1.4
Formation energy (no corrections) in kJ/mol of atoms: 7.3
SG: P4/mmm (123)

Entry 11:
Crystalline Ni2HgBiC at its relaxed geometry, computed with GGA-PBE.

Cell lengths 4.879, 4.879, 4.464 Å; angles 90.00, 90.00, 90.00 degrees
Fractional coordinates of all 5 atoms:
Ni 0.000 0.500 0.000
Ni 0.500 0.000 0.000
Hg 0.000 0.000 0.500
Bi 0.500 0.500 0.000
C 0.500 0.500 0.500

Fermi-level density of states in states/eV/f.u.: 4.5
SG: P4/mmm (123)
Formation energy from the elements in meV/atom: 1756

Entry 12:
Crystalline CaCr2Tc at its relaxed geometry, computed with GGA-PBE.

Cell lengths 5.262, 5.262, 2.577 Å; angles 99.63, 99.63, 116.27 degrees
Fractional coordinates of all 4 atoms:
Ca 0.000 0.000 0.000
Cr 0.000 0.500 0.500
Cr 0.500 0.000 0.500
Tc 0.500 0.500 0.000

Fermi-level density of states in states/eV/f.u.: 4.9
SG: C2/m (12)
Formation energy from the elements in meV/atom: 845

Entry 13:
Crystalline CaY4HoSe8 at its relaxed geometry, computed with GGA-PBE.

Cell lengths 8.455, 8.455, 8.455 Å; angles 60.05, 60.05, 60.05 degrees
Fractional coordinates of all 14 atoms:
Ca 0.000 0.000 0.000
Y 0.119 0.627 0.627
Y 0.250 0.250 0.250
Y 0.627 0.119 0.627
Y 0.627 0.627 0.119
Ho 0.627 0.627 0.627
Se 0.383 0.383 0.383
Se 0.384 0.384 0.850
Se 0.384 0.850 0.384
Se 0.405 0.864 0.864
Se 0.850 0.384 0.384
Se 0.864 0.405 0.864
Se 0.864 0.864 0.405
Se 0.865 0.865 0.865

Fermi-level density of states in states/eV/f.u.: 3.7
Formation energy (no corrections) in kJ/mol of atoms: -174.6
SG: R3m (160)

Entry 14:
Crystalline LiPt2Cl at its relaxed geometry, computed with GGA-PBE.

Cell lengths 3.414, 3.414, 6.987 Å; angles 90.00, 90.00, 90.00 degrees
Fractional coordinates of all 4 atoms:
Li 0.000 0.000 0.000
Pt 0.000 0.000 0.477
Pt 0.500 0.500 0.356
Cl 0.500 0.500 0.942

Fermi-level density of states in states/eV/f.u.: 4.4
Formation energy (no corrections) in kJ/mol of atoms: -32.0
SG: P4mm (99)

Entry 15:
Crystalline TaNb3Ru2 at its relaxed geometry, computed with GGA-PBE.

Cell lengths 7.228, 7.228, 3.215 Å; angles 90.00, 90.00, 143.32 degrees
Fractional coordinates of all 6 atoms:
Ta 0.000 0.000 0.000
Nb 0.168 0.832 0.500
Nb 0.500 0.500 0.500
Nb 0.832 0.168 0.500
Ru 0.330 0.670 0.000
Ru 0.670 0.330 0.000

Fermi-level density of states in states/eV/f.u.: 3.4
SG: Cmmm (65)
Formation energy from the elements in meV/atom: -211

Entry 16:
Crystalline Tb2Pr5ErTh at its relaxed geometry, computed with GGA-PBE.

Cell lengths 11.265, 11.265, 10.658 Å; angles 90.00, 90.00, 151.99 degrees
Fractional coordinates of all 18 atoms:
Tb 0.112 0.888 0.505
Tb 0.112 0.888 0.995
Tb 0.888 0.112 0.005
Tb 0.888 0.112 0.495
Pr 0.002 0.998 0.250
Pr 0.278 0.722 0.058
Pr 0.278 0.722 0.442
Pr 0.373 0.627 0.750
Pr 0.500 0.500 0.000
Pr 0.500 0.500 0.500
Pr 0.627 0.373 0.250
Pr 0.722 0.278 0.558
Pr 0.722 0.278 0.942
Pr 0.998 0.002 0.750
Er 0.398 0.602 0.250
Er 0.602 0.398 0.750
Th 0.211 0.789 0.750
Th 0.789 0.211 0.250

Fermi-level density of states in states/eV/f.u.: 12.8
SG: Cmcm (63)
Formation energy from the elements in meV/atom: 138

Entry 17:
Crystalline ZrRe2Te at its relaxed geometry, computed with GGA-PBE.

Cell lengths 3.123, 3.162, 8.025 Å; angles 90.00, 96.38, 90.00 degrees
Fractional coordinates of all 4 atoms:
Zr 0.000 0.000 0.000
Re 0.114 0.000 0.418
Re 0.569 0.500 0.244
Te 0.311 0.500 0.714

Fermi-level density of states in states/eV/f.u.: 3.4
Formation energy (no corrections) in kJ/mol of atoms: 11.1
SG: Pm (6)

Entry 18:
Crystalline Mn2GeHN at its relaxed geometry, computed with GGA-PBE.

Cell lengths 2.881, 2.881, 6.892 Å; angles 90.00, 90.00, 120.00 degrees
Fractional coordinates of all 5 atoms:
Mn 0.000 0.000 0.000
Mn 0.333 0.667 0.315
Ge 0.000 0.000 0.612
H 0.333 0.667 0.890
N 0.667 0.333 0.165

Total energy in eV/atom: -6.98
Fermi-level density of states in states/eV/f.u.: 2.5
SG: P3m1 (156)

Entry 19:
Crystalline CdS3Cl3 at its relaxed geometry, computed with GGA-PBE.

Cell lengths 8.815, 8.815, 8.815 Å; angles 61.33, 61.33, 61.33 degrees
Fractional coordinates of all 14 atoms:
Cd 0.240 0.240 0.240
Cd 0.760 0.760 0.760
S 0.277 0.532 0.476
S 0.468 0.524 0.723
S 0.476 0.277 0.532
S 0.524 0.723 0.468
S 0.532 0.476 0.277
S 0.723 0.468 0.524
Cl 0.007 0.537 0.197
Cl 0.197 0.007 0.537
Cl 0.463 0.803 0.993
Cl 0.537 0.197 0.007
Cl 0.803 0.993 0.463
Cl 0.993 0.463 0.803

Formation energy (no corrections) in kJ/mol of atoms: -24.4
SG: R-3 (148)

Entry 20:
Crystalline Tb2Tm3PuSe6 at its relaxed geometry, computed with GGA-PBE.

Cell lengths 9.100, 9.100, 8.175 Å; angles 103.36, 103.36, 25.62 degrees
Fractional coordinates of all 12 atoms:
Tb 0.164 0.164 0.329
Tb 0.836 0.836 0.671
Tm 0.165 0.165 0.835
Tm 0.500 0.500 0.500
Tm 0.835 0.835 0.165
Pu 0.500 0.500 0.000
Se 0.002 0.002 0.743
Se 0.330 0.330 0.919
Se 0.334 0.334 0.412
Se 0.666 0.666 0.588
Se 0.670 0.670 0.081
Se 0.998 0.998 0.257

Fermi-level density of states in states/eV/f.u.: 8.3
Formation energy (no corrections) in kJ/mol of atoms: -164.1
SG: C2/m (12)

no.,M_tot (μB/cell)
1,0.00
2,0.00
3,0.00
4,0.00
5,0.00
6,0.00
7,0.00
8,0.00
9,0.00
10,0.00
11,0.73
12,0.00
13,0.00
14,0.00
15,0.00
16,0.00
17,0.00
18,3.96
19,2.01
20,6.06